1.
The following is a PBE-GGA calculation of a relaxed LiGaOs crystal, from the Alexandria database.

Results
Energy of formation, eV per formula unit: 0.44
Total DFT energy (no corrections), eV per atom: -5.242

a b c (Å): 4.8407 2.7961 13.7077
angles (deg): 90.00 96.39 90.00
Space group C2/m (No. 12)
Symmetry-distinct sites (fractional):
Li  0.1306  0.0000  0.4085 x4
Ga  0.2472  0.5000  0.2517 x4
Os  0.0281  0.0000  0.0884 x4


2.
The following is a PBE-GGA calculation of a relaxed CrTc2Br crystal, from the Alexandria database.

Results
Formation energy without anion corrections, eV/atom: 0.565
Energy above the most stable polymorph in this dataset, eV per formula unit: 0.39
Total DFT energy (no corrections), eV per atom: -7.442

a b c (Å): 2.9088 2.9088 24.8617
angles (deg): 90.00 90.00 120.00
Space group R-3m (No. 166, hexagonal axes)
Symmetry-distinct sites (fractional):
Cr  0.0000  0.0000  0.0000 x3
Tc  0.0000  0.0000  0.2561 x6
Br  0.0000  0.0000  0.5000 x3